Here is a relaxed structure of MgTeSe2 from Alexandria. Energies are from PBE.

Values from the calculation:
formation energy from raw total energies	-0.346	eV/atom
DOS at the Fermi energy	0.9	states/eV/f.u.
calculated volume	27.924	Å³ per atom
distance to the lowest polymorph of the same formula	0.136	eV per atom

Cell and atoms, written as extended XYZ:
```
4
Lattice="-2.072 2.331 5.781 2.072 -2.331 5.781 2.072 2.331 -5.781" Properties=species:S:1:pos:R:3 pbc="T T T"
Mg 0.000 0.000 0.000
Te 0.000 0.000 5.781
Se 2.072 0.000 1.779
Se 0.000 2.331 4.003
```